Below is an optimized crystal structure of Er3Al7Zn4, with properties calculated at the GGA-PBE level.

**Crystal system**: monoclinic
**Magnetic moment**: 0.00 μB per cell
**ΔE_f**: -5.36 eV per formula unit
**Calculated total energy**: -3.596 eV per atom

The structure in CIF format:
```
data_Er3Al7Zn4
_chemical_formula_sum 'Er6 Al14 Zn8'
_space_group_name_H-M_alt 'C 1 2/m 1'
_space_group_IT_number 12
_cell_length_a 15.742
_cell_length_b 4.190
_cell_length_c 9.824
_cell_angle_alpha 90.00
_cell_angle_beta 127.36
_cell_angle_gamma 90.00
loop_
_space_group_symop_operation_xyz
'x,y,z'
'-x,-y,-z'
'-x,y,-z'
'x,-y,z'
'x+1/2,y+1/2,z'
'-x+1/2,-y+1/2,-z'
'-x+1/2,y+1/2,-z'
'x+1/2,-y+1/2,z'
loop_
_atom_site_label
_atom_site_fract_x
_atom_site_fract_y
_atom_site_fract_z
_atom_site_occupancy
Er1 0.000 0.000 0.000 1
Er2 0.184 0.500 0.689 1
Al1 0.000 0.000 0.500 1
Al2 0.007 0.500 0.294 1
Al3 0.158 0.000 0.425 1
Al4 0.170 0.500 0.027 1
Zn1 0.128 0.000 0.849 1
Zn2 0.158 0.500 0.268 1
```